Record 1
Compound: AcSm2HoEr5
Source: the Alexandria database
Functional: PBE
Structure: optimized geometry

Values from the calculation:
Its calculated volume is 598.50 Å³ per cell. As for the formation energy: 0.2671 eV/atom. Its mass density is 8.484 Mg/m³.

a b c (Å): 9.881 9.881 9.881
angles (deg): 126.82 126.82 78.54
Fractional positions:
Ac: 0.250 0.250 0.000
Ac: 0.750 0.750 0.000
Sm: 0.115 0.615 0.731
Sm: 0.385 0.115 0.500
Sm: 0.615 0.885 0.500
Sm: 0.885 0.385 0.269
Ho: 0.250 0.750 0.500
Ho: 0.750 0.250 0.500
Er: 0.000 0.000 0.000
Er: 0.075 0.163 0.500
Er: 0.163 0.663 0.088
Er: 0.337 0.425 0.500
Er: 0.425 0.925 0.088
Er: 0.500 0.500 0.000
Er: 0.575 0.075 0.912
Er: 0.663 0.575 0.500
Er: 0.837 0.337 0.912
Er: 0.925 0.837 0.500

Record 2
Compound: LiCaPmSb
Source: the Alexandria database
Functional: PBE
Structure: optimized geometry

Values from the calculation:
For the calculated total energy, the calculation gives -3.67 eV/atom. Its calculated volume is 107.42 Å³ per cell. Its mass density is 4.851 Mg/m³.

a b c (Å): 5.336 5.336 5.336
angles (deg): 60.00 60.00 60.00
Fractional positions:
Li: 0.000 0.000 0.000
Ca: 0.250 0.250 0.250
Pm: 0.750 0.750 0.750
Sb: 0.500 0.500 0.500

Record 3
Compound: CoBrN2
Source: the Alexandria database
Functional: PBE
Structure: optimized geometry

Values from the calculation:
For the calculated total energy, the calculation gives -4.53 eV/atom. Its calculated volume is 54.55 Å³ per cell. Its mass density is 5.079 Mg/m³.

a b c (Å): 6.345 6.345 6.345
angles (deg): 29.42 29.42 29.42
Fractional positions:
Co: 0.000 0.000 0.000
Br: 0.500 0.500 0.500
N: 0.094 0.094 0.094
N: 0.906 0.906 0.906

Record 4
Compound: W2AuSe
Source: the Alexandria database
Functional: PBE
Structure: optimized geometry

Values from the calculation:
For the calculated total energy, the calculation gives -7.34 eV/atom. Its calculated volume is 68.03 Å³ per cell. Its mass density is 15.709 Mg/m³.

a b c (Å): 2.832 2.832 9.134
angles (deg): 90.00 90.00 111.73
Fractional positions:
W: 0.000 0.000 0.240
W: 0.000 0.000 0.760
Au: 0.500 0.500 0.500
Se: 0.500 0.500 0.000

Record 5
Compound: SmZnIrRh
Source: the Alexandria database
Functional: PBE
Structure: optimized geometry

Values from the calculation:
Its calculated volume is 70.61 Å³ per cell. As for the formation energy: -0.4004 eV/atom. Its mass density is 12.014 Mg/m³.

a b c (Å): 4.639 4.639 4.639
angles (deg): 60.00 60.00 60.00
Fractional positions:
Sm: 0.000 0.000 0.000
Zn: 0.500 0.500 0.500
Ir: 0.750 0.750 0.750
Rh: 0.250 0.250 0.250

Record 6
Compound: Ba5Rh2Au
Source: the Alexandria database
Functional: PBE
Structure: optimized geometry

Values from the calculation:
Its calculated volume is 567.83 Å³ per cell. As for the formation energy: -0.3128 eV/atom. Its mass density is 6.372 Mg/m³.

a b c (Å): 9.869 9.869 9.869
angles (deg): 128.83 128.83 75.28
Fractional positions:
Ba: 0.000 0.000 0.000
Ba: 0.035 0.535 0.838
Ba: 0.197 0.035 0.500
Ba: 0.303 0.803 0.838
Ba: 0.465 0.303 0.500
Ba: 0.500 0.500 0.000
Ba: 0.535 0.697 0.500
Ba: 0.697 0.197 0.162
Ba: 0.803 0.965 0.500
Ba: 0.965 0.465 0.162
Rh: 0.122 0.378 0.500
Rh: 0.378 0.878 0.256
Rh: 0.622 0.122 0.744
Rh: 0.878 0.622 0.500
Au: 0.250 0.250 0.000
Au: 0.750 0.750 0.000